DFT (PBE-GGA) results for an optimized crystal structure of NdErOs4.

a = 5.391 Å, b = 5.391 Å, c = 5.391 Å
α = 60.00°, β = 60.00°, γ = 60.00°
Fractional coordinates of all 6 atoms:
Nd1 0.000 0.000 0.000
Er1 0.750 0.750 0.750
Os1 0.375 0.375 0.375
Os2 0.375 0.375 0.874
Os3 0.375 0.874 0.375
Os4 0.874 0.375 0.375

Results
raw total energy	-55.332	eV for the cell shown